{"formula": "TbCo2GeN", "functional": "PBE", "state": "optimized geometry", "lattice_angstrom": [[-2.1356, 2.7211, -0.9833], [-2.6408, -4.9505, -1.3885], [-3.0101, -0.1283, 6.1824]], "species": ["N", "Ge", "Tb", "Co", "Co", "Ge", "Co", "Tb", "Co", "N"], "fractional_positions": [[0.0000, 0.0000, 0.5000], [0.7324, 0.4647, 0.7500], [0.4595, 0.9190, 0.7500], [0.8397, 0.6794, 0.4479], [0.1603, 0.3206, 0.9479], [0.2676, 0.5353, 0.2500], [0.1603, 0.3206, 0.5521], [0.5405, 0.0810, 0.2500], [0.8397, 0.6794, 0.0521], [0.0000, 0.0000, 0.0000]], "total_energy_ev_per_atom": -7.078, "magmom_total_mub_per_cell": 2.1, "space_group": "Cmcm, No. 63", "crystal_system": "orthorhombic", "volume_a3_per_cell": 136}

=====

{"formula": "PrGa12Co4", "functional": "PBE", "state": "optimized geometry", "lattice_angstrom": [[7.8453, 0.0000, 0.0000], [-2.6151, 7.3966, 0.0000], [-2.6151, -3.6983, 6.4057]], "species": ["Co", "Ga", "Ga", "Pr", "Co", "Ga", "Ga", "Ga", "Ga", "Ga", "Ga", "Co", "Ga", "Ga", "Ga", "Ga", "Co"], "fractional_positions": [[0.5000, 0.5000, 0.5000], [0.2598, 0.7412, 0.0009], [0.7412, 0.0009, 0.2598], [0.0000, 0.0000, 0.0000], [0.0000, 0.0000, 0.5000], [0.2588, 0.9991, 0.7402], [0.4814, 0.7402, 0.7412], [0.0009, 0.2598, 0.7412], [0.2598, 0.2588, 0.5186], [0.2588, 0.5186, 0.2598], [0.7402, 0.2588, 0.9991], [0.0000, 0.5000, 0.0000], [0.7402, 0.7412, 0.4814], [0.9991, 0.7402, 0.2588], [0.5186, 0.2598, 0.2588], [0.7412, 0.4814, 0.7402], [0.5000, 0.0000, 0.0000]], "total_energy_ev_per_atom": -4.279, "magmom_total_mub_per_cell": 1.4, "space_group": "Im-3, No. 204", "crystal_system": "cubic", "volume_a3_per_cell": 372}

=====

{"formula": "SrSe2Cl", "functional": "PBE", "state": "optimized geometry", "lattice_angstrom": [[4.0567, 0.3274, 0.0000], [-0.3278, 4.0567, 0.0000], [0.0000, 0.0000, 5.9851]], "species": ["Se", "Cl", "Sr", "Se"], "fractional_positions": [[0.5000, 0.5000, 0.0000], [0.0000, 0.5000, 0.5000], [0.5000, 0.0000, 0.5000], [0.0000, 0.0000, 0.0000]], "total_energy_ev_per_atom": -3.885, "magmom_total_mub_per_cell": 0.0, "space_group": "P4/mmm, No. 123", "crystal_system": "tetragonal", "volume_a3_per_cell": 99, "e_above_lowest_polymorph_ev_per_atom": 0.0244}

=====

What did the first record say?
{"formula": "TbCo2GeN", "functional": "PBE", "state": "optimized geometry", "lattice_angstrom": [[-2.1356, 2.7211, -0.9833], [-2.6408, -4.9505, -1.3885], [-3.0101, -0.1283, 6.1824]], "species": ["N", "Ge", "Tb", "Co", "Co", "Ge", "Co", "Tb", "Co", "N"], "fractional_positions": [[0.0000, 0.0000, 0.5000], [0.7324, 0.4647, 0.7500], [0.4595, 0.9190, 0.7500], [0.8397, 0.6794, 0.4479], [0.1603, 0.3206, 0.9479], [0.2676, 0.5353, 0.2500], [0.1603, 0.3206, 0.5521], [0.5405, 0.0810, 0.2500], [0.8397, 0.6794, 0.0521], [0.0000, 0.0000, 0.0000]], "total_energy_ev_per_atom": -7.078, "magmom_total_mub_per_cell": 2.1, "space_group": "Cmcm, No. 63", "crystal_system": "orthorhombic", "volume_a3_per_cell": 136}